The following is a PBE calculation of crystalline BaLi3Np4Se12 at its relaxed geometry, from Alexandria via LeMat-Bulk.

Calculated values
Formation energy (no corrections) ... -1.06 eV per atom

CIF file:
```
data_BaLi3Np4Se12
_cell_length_a 8.9572
_cell_length_b 8.9572
_cell_length_c 8.9572
_cell_angle_alpha 109.47
_cell_angle_beta 109.47
_cell_angle_gamma 109.47
_symmetry_space_group_name_H-M 'P 1'
_symmetry_Int_Tables_number 1
loop_
_symmetry_equiv_pos_as_xyz
'x,y,z'
loop_
_atom_site_label
_atom_site_type_symbol
_atom_site_fract_x
_atom_site_fract_y
_atom_site_fract_z
Ba1 Ba 0.0000 0.0000 0.0000
Li1 Li 0.0000 0.5000 0.5000
Li2 Li 0.5000 0.0000 0.5000
Li3 Li 0.5000 0.5000 0.0000
Np1 Np 0.0000 0.0000 0.5000
Np2 Np 0.0000 0.5000 0.0000
Np3 Np 0.5000 0.0000 0.0000
Np4 Np 0.5000 0.5000 0.5000
Se1 Se 0.1272 0.3025 0.8247
Se2 Se 0.1753 0.4778 0.3025
Se3 Se 0.1753 0.8728 0.6975
Se4 Se 0.3025 0.1753 0.4778
Se5 Se 0.3025 0.8247 0.1272
Se6 Se 0.4778 0.3025 0.1753
Se7 Se 0.5222 0.6975 0.8247
Se8 Se 0.6975 0.1753 0.8728
Se9 Se 0.6975 0.8247 0.5222
Se10 Se 0.8247 0.1272 0.3025
Se11 Se 0.8247 0.5222 0.6975
Se12 Se 0.8728 0.6975 0.1753
```